1.
Density functional theory data (PBE) for a geometry-optimized InCu3Te4 structure.

Cell: 4.3203 4.3203 12.1368 Å, 90.00 90.00 90.00°
Last column: nearest neighbours and their distance in Å.
Space group P-4m2 (No. 115)
Unique sites:
In 0.0000 0.0000 0.0000 (multiplicity 1)  4 Te 2.84
Cu 0.0000 0.0000 0.5000 (multiplicity 1)  4 Te 2.57
Cu 0.5000 0.5000 0.2686 (multiplicity 2)  4 Te 2.58
Te 0.0000 0.5000 0.1522 (multiplicity 2)  2 Cu 2.58, 2 In 2.84
Te 0.0000 0.5000 0.6147 (multiplicity 2)  4 Cu 2.57-2.58

Output
**Total energy**: -3.58 eV/atom
**Magnetic moment**: 0.000 Bohr magnetons per cell



2.
Density functional theory data (PBE) for a geometry-optimized InCuTe4 structure.

Cell: 9.0645 9.0645 9.0645 Å, 90.00 90.00 90.00°
Last column: nearest neighbours and their distance in Å.
Space group F-43m (No. 216)
Unique sites:
In 0.0000 0.0000 0.0000 (multiplicity 4)  12 Te 3.76, 4 Cu 3.93
Cu 0.2500 0.2500 0.2500 (multiplicity 4)  12 Te 3.76, 4 In 3.93
Te 0.1242 0.1242 0.6242 (multiplicity 16)  6 Te 3.19-3.22

Output
**Total energy**: -2.73 eV/atom
**Magnetic moment**: 0.000 Bohr magnetons per cell



3.
Density functional theory data (PBE) for a geometry-optimized In12Cu3Te5 structure.

Cell: 17.0902 17.0902 17.0902 Å, 90.00 90.00 90.00°
Last column: nearest neighbours and their distance in Å.
Space group Ia-3d (No. 230)
Unique sites:
In 0.0185 0.0977 0.6501 (multiplicity 96)  1 Cu 2.66
Cu 0.0000 0.2500 0.1250 (multiplicity 24)  4 In 2.66
Te 0.0000 0.0000 0.0000 (multiplicity 16)  6 In 3.08
Te 0.0000 0.2500 0.3750 (multiplicity 24)  4 In 3.00

Output
**Total energy**: -3.01 eV/atom
**Magnetic moment**: 0.000 Bohr magnetons per cell